(1)
Below is a relaxed Ca2SeF2 crystal, with properties calculated at the PBE-GGA level.

Computed properties:
space-group type	I4/mmm
crystal system	tetragonal

Cell lengths 3.822, 3.822, 6.736 Å; angles 73.52, 73.52, 90.00 degrees
Element x y z (fractional)
Ca1 0.641 0.641 0.718
Se1 0.000 0.000 0.000
F1 0.250 0.750 0.500
F2 0.750 0.250 0.500
Ca2 0.359 0.359 0.282


(2)
Below is a relaxed Ca3Se2F2 crystal, with properties calculated at the PBE-GGA level.

Computed properties:
space-group type	C2/m
crystal system	monoclinic

Cell lengths 3.992, 7.042, 6.738 Å; angles 124.03, 107.23, 90.00 degrees
Element x y z (fractional)
Se1 0.423 0.188 0.847
Ca1 0.191 0.665 0.382
Se2 0.577 0.812 0.153
F1 0.794 0.662 0.587
Ca2 0.000 0.000 0.000
F2 0.206 0.338 0.413
Ca3 0.809 0.335 0.618


(3)
Below is a relaxed Ca2SeF crystal, with properties calculated at the PBE-GGA level.

Computed properties:
space-group type	Fm-3m
energy relative to the lowest polymorph listed for this composition	294	meV per atom
crystal system	cubic

Cell lengths 4.895, 4.895, 4.895 Å; angles 60.00, 60.00, 60.00 degrees
Last column: magnetic moment on the atom in μB.
Element x y z (fractional)
Ca1 0.750 0.750 0.750  0.19
Ca2 0.250 0.250 0.250  0.19
Se1 0.500 0.500 0.500  -0.01
F1 0.000 0.000 0.000  0.00


(4)
Below is a relaxed CaSeF2 crystal, with properties calculated at the PBE-GGA level.

Computed properties:
space-group type	I-42d
energy relative to the lowest polymorph listed for this composition	261	meV per atom
crystal system	tetragonal

Cell lengths 6.430, 6.430, 6.972 Å; angles 62.54, 62.54, 90.00 degrees
Last column: magnetic moment on the atom in μB.
Element x y z (fractional)
F1 0.292 0.625 0.250  0.03
F2 0.875 0.708 0.750  0.03
F3 0.375 0.542 0.750  0.03
Ca1 0.500 0.500 0.000  0.00
Se1 0.000 0.000 0.000  1.15
Ca2 0.250 0.750 0.500  0.00
Se2 0.750 0.250 0.500  1.15
F4 0.458 0.125 0.250  0.03


(5)
Below is a relaxed CaSeF2 crystal, with properties calculated at the PBE-GGA level.

Computed properties:
space-group type	R-3m
energy relative to the lowest polymorph listed for this composition	0	meV per atom
crystal system	trigonal

Cell lengths 9.763, 9.763, 9.763 Å; angles 19.94, 19.94, 19.94 degrees
Last column: magnetic moment on the atom in μB.
Element x y z (fractional)
Se1 0.000 0.000 0.000  0.32
F1 0.871 0.871 0.871  0.00
Ca1 0.500 0.500 0.500  0.00
F2 0.129 0.129 0.129  0.00


(6)
Below is a relaxed CaSeF2 crystal, with properties calculated at the PBE-GGA level.

Computed properties:
space-group type	Fm-3m
energy relative to the lowest polymorph listed for this composition	626	meV per atom
crystal system	cubic

Cell lengths 4.532, 4.532, 4.532 Å; angles 60.00, 60.00, 60.00 degrees
Last column: magnetic moment on the atom in μB.
Element x y z (fractional)
F1 0.250 0.250 0.250  0.21
F2 0.750 0.750 0.750  0.21
Se1 0.500 0.500 0.500  0.98
Ca1 0.000 0.000 0.000  0.03


(7)
Below is a relaxed CaSeF2 crystal, with properties calculated at the PBE-GGA level.

Computed properties:
space-group type	R-3m
energy relative to the lowest polymorph listed for this composition	1239	meV per atom
crystal system	trigonal

Cell lengths 9.023, 9.023, 9.023 Å; angles 23.52, 23.52, 23.52 degrees
Last column: magnetic moment on the atom in μB.
Element x y z (fractional)
F1 0.077 0.077 0.077  0.05
Se1 0.500 0.500 0.500  1.12
F2 0.923 0.923 0.923  0.05
Ca1 0.000 0.000 0.000  0.00


(8)
Below is a relaxed Ca2SeF crystal, with properties calculated at the PBE-GGA level.

Computed properties:
space-group type	I-42d
energy relative to the lowest polymorph listed for this composition	52	meV per atom
crystal system	tetragonal

Cell lengths 6.039, 6.039, 7.357 Å; angles 65.77, 65.77, 90.00 degrees
Last column: magnetic moment on the atom in μB.
Element x y z (fractional)
Ca1 0.570 0.125 0.250  0.08
Se1 0.000 0.000 0.000  0.00
Ca2 0.180 0.625 0.250  0.08
Ca3 0.375 0.430 0.750  0.09
Se2 0.750 0.250 0.500  0.00
F1 0.500 0.500 0.000  0.01
F2 0.250 0.750 0.500  0.01
Ca4 0.875 0.820 0.750  0.10


In order of appearance, energy relative to the elements, uncorrected = -3.101; -2.748; -1.857; -2.193; -2.454; -1.827; -1.214; -2.100 eV/atom.